Compound: Nd3DyEr2FeTe2
Source: the Open Quantum Materials Database
Functional: PBE
Structure: optimized geometry

Unit cell a=4.0447 b=8.4184 c=8.4184 alpha=120.10 beta=90.00 gamma=90.00
With the nearest neighbours (Å) after each atom.
Element x y z (fractional)
Dy 0.0000 0.7712 0.7712  2 Fe 2.81
Er 0.0000 0.9998 0.2284  2 Fe 2.78
Er 0.0000 0.2284 0.9998  2 Fe 2.78
Fe 0.5000 0.0032 0.0032  4 Er 2.78, 2 Dy 2.81
Nd 0.5000 0.5987 0.0000  4 Te 3.26-3.27, 1 Fe 3.39, 2 Er 3.56, 2 Dy 3.57
Nd 0.5000 0.3996 0.3996  4 Te 3.28, 1 Fe 3.33, 4 Er 3.55
Nd 0.5000 0.0000 0.5987  4 Te 3.26-3.27, 1 Fe 3.39, 2 Er 3.56, 2 Dy 3.57
Te 0.0000 0.6666 0.3326  6 Nd 3.26-3.28, 2 Er 3.33, 1 Dy 3.34
Te 0.0000 0.3326 0.6666  6 Nd 3.26-3.28, 2 Er 3.33, 1 Dy 3.34

V: 27.55 Å³/atom

***

Compound: Nd3Dy2ErFeTe2
Source: the Open Quantum Materials Database
Functional: PBE
Structure: optimized geometry

Unit cell a=4.0530 b=8.4539 c=8.4539 alpha=119.98 beta=90.00 gamma=90.00
With the nearest neighbours (Å) after each atom.
Element x y z (fractional)
Dy 0.5000 0.9998 0.2295  2 Fe 2.81
Dy 0.5000 0.2295 0.9998  2 Fe 2.81
Er 0.5000 0.7709 0.7709  2 Fe 2.80
Fe 0.0000 0.9985 0.9985  2 Er 2.80, 4 Dy 2.81
Nd 0.0000 0.5984 0.0000  4 Te 3.28, 1 Fe 3.39, 2 Er 3.58, 2 Dy 3.58
Nd 0.0000 0.4024 0.4024  4 Te 3.28, 1 Fe 3.41, 4 Dy 3.58
Nd 0.0000 0.0000 0.5984  4 Te 3.28, 1 Fe 3.39, 2 Er 3.58, 2 Dy 3.58
Te 0.5000 0.6666 0.3338  6 Nd 3.28, 1 Er 3.34, 2 Dy 3.35
Te 0.5000 0.3338 0.6666  6 Nd 3.28, 1 Er 3.34, 2 Dy 3.35

V: 27.88 Å³/atom

***

| no. | total DFT energy (no corrections) (eV/atom) |
| --- | --- |
| 1 | -5.38 |
| 2 | -5.39 |